First-principles (SCAN) data for a crystal of YCoMo2 relaxed with PBEsol, as listed in Alexandria.

abc: 2.802 2.802 28.608
angles: 90.00 90.00 120.00
Positions (direct):
Y: 0.000 0.000 0.000
Y: 0.333 0.667 0.667
Y: 0.667 0.333 0.333
Co: 0.000 0.000 0.500
Co: 0.333 0.667 0.167
Co: 0.667 0.333 0.833
Mo: 0.000 0.000 0.237
Mo: 0.000 0.000 0.763
Mo: 0.333 0.667 0.430
Mo: 0.333 0.667 0.903
Mo: 0.667 0.333 0.097
Mo: 0.667 0.333 0.570

Output
- Symmetry: No. 166
- Distance to the lowest polymorph of the same formula: 220 kJ/mol of formula units

---

First-principles (SCAN) data for a crystal of MoPtRh2 relaxed with PBEsol, as listed in Alexandria.

abc: 2.697 3.887 5.409
angles: 90.00 90.00 90.00
Positions (direct):
Mo: 0.000 0.000 0.000
Pt: 0.500 0.500 0.260
Rh: 0.000 0.000 0.519
Rh: 0.500 0.500 0.763

Output
- Symmetry: No. 25
- Distance to the lowest polymorph of the same formula: 15 kJ/mol of formula units

---

First-principles (SCAN) data for a crystal of ScSe3S relaxed with PBEsol, as listed in Alexandria.

abc: 4.753 4.753 4.753
angles: 90.00 90.00 90.00
Positions (direct):
Sc: 0.000 0.000 0.000
Se: 0.000 0.500 0.500
Se: 0.500 0.000 0.500
Se: 0.500 0.500 0.000
S: 0.500 0.500 0.500

Output
- Symmetry: No. 221
- Formation energy without anion corrections: -0.60 eV per formula unit
- Distance to the lowest polymorph of the same formula: 0 kJ/mol of formula units

---

First-principles (SCAN) data for a crystal of BeCoAu2 relaxed with PBEsol, as listed in Alexandria.

abc: 2.781 4.280 8.744
angles: 90.00 90.00 90.00
Positions (direct):
Be: 0.000 0.000 0.000
Be: 0.500 0.500 0.500
Co: 0.000 0.500 0.299
Co: 0.500 0.000 0.799
Au: 0.000 0.000 0.514
Au: 0.000 0.500 0.725
Au: 0.500 0.000 0.225
Au: 0.500 0.500 0.014

Output
- Symmetry: No. 44

---

First-principles (SCAN) data for a crystal of MgSc2Al relaxed with PBEsol, as listed in Alexandria.

abc: 3.159 3.159 8.326
angles: 90.00 90.00 90.00
Positions (direct):
Mg: 0.000 0.000 0.000
Sc: 0.500 0.500 0.274
Sc: 0.500 0.500 0.726
Al: 0.000 0.000 0.500

Output
- Symmetry: No. 123
- Distance to the lowest polymorph of the same formula: 15 kJ/mol of formula units

---

First-principles (SCAN) data for a crystal of ReTe2AuN relaxed with PBEsol, as listed in Alexandria.

abc: 5.298 5.298 3.694
angles: 90.00 90.00 90.00
Positions (direct):
Re: 0.000 0.000 0.000
Te: 0.000 0.500 0.000
Te: 0.500 0.000 0.000
Au: 0.500 0.500 0.500
N: 0.000 0.000 0.500

Output
- Symmetry: No. 123
- Formation energy without anion corrections: 2.18 eV per formula unit

---

First-principles (SCAN) data for a crystal of Li5Au3 relaxed with PBEsol, as listed in Alexandria.

abc: 7.492 7.492 7.492
angles: 96.72 96.72 140.00
Positions (direct):
Li: 0.074 0.775 0.849
Li: 0.225 0.074 0.299
Li: 0.250 0.750 0.500
Li: 0.275 0.574 0.849
Li: 0.426 0.275 0.701
Li: 0.574 0.725 0.299
Li: 0.725 0.426 0.151
Li: 0.750 0.250 0.500
Li: 0.775 0.926 0.701
Li: 0.926 0.225 0.151
Au: 0.169 0.331 0.500
Au: 0.250 0.250 0.000
Au: 0.331 0.831 0.163
Au: 0.669 0.169 0.837
Au: 0.750 0.750 0.000
Au: 0.831 0.669 0.500

Output
- Symmetry: No. 140
- Distance to the lowest polymorph of the same formula: 16 kJ/mol of formula units

---

First-principles (SCAN) data for a crystal of Hf4CuSi3 relaxed with PBEsol, as listed in Alexandria.

abc: 3.656 3.706 9.872
angles: 90.00 90.00 90.00
Positions (direct):
Hf: 0.000 0.000 0.000
Hf: 0.000 0.500 0.295
Hf: 0.500 0.000 0.497
Hf: 0.500 0.500 0.796
Cu: 0.000 0.000 0.720
Si: 0.000 0.500 0.574
Si: 0.500 0.000 0.227
Si: 0.500 0.500 0.067

Output
- Symmetry: No. 25
- Formation energy without anion corrections: -5.58 eV per formula unit

---

First-principles (SCAN) data for a crystal of CsFe2B2 relaxed with PBEsol, as listed in Alexandria.

abc: 3.831 3.831 12.438
angles: 90.00 90.00 90.00
Positions (direct):
Cs: 0.000 0.000 0.000
Cs: 0.500 0.500 0.500
Fe: 0.000 0.000 0.252
Fe: 0.000 0.000 0.748
Fe: 0.500 0.500 0.248
Fe: 0.500 0.500 0.752
B: 0.000 0.500 0.250
B: 0.000 0.500 0.750
B: 0.500 0.000 0.250
B: 0.500 0.000 0.750

Output
- Symmetry: No. 139

---

First-principles (SCAN) data for a crystal of TlPIr relaxed with PBEsol, as listed in Alexandria.

abc: 3.436 3.436 5.663
angles: 90.00 90.00 120.00
Positions (direct):
Tl: 0.000 0.000 0.000
P: 0.667 0.333 0.418
Ir: 0.333 0.667 0.611

Output
- Symmetry: No. 156

---

First-principles (SCAN) data for a crystal of RbHfTaGe2 relaxed with PBEsol, as listed in Alexandria.

abc: 4.982 4.982 4.874
angles: 90.00 90.00 90.00
Positions (direct):
Rb: 0.000 0.000 0.000
Hf: 0.000 0.000 0.500
Ta: 0.500 0.500 0.500
Ge: 0.000 0.500 0.000
Ge: 0.500 0.000 0.000

Output
- Symmetry: No. 123

---

First-principles (SCAN) data for a crystal of MgInSb2 relaxed with PBEsol, as listed in Alexandria.

abc: 7.401 7.401 7.401
angles: 90.00 90.00 90.00
Positions (direct):
Mg: 0.000 0.000 0.000
Mg: 0.000 0.500 0.500
Mg: 0.500 0.000 0.500
Mg: 0.500 0.500 0.000
In: 0.250 0.250 0.250
In: 0.250 0.750 0.750
In: 0.750 0.250 0.750
In: 0.750 0.750 0.250
Sb: 0.000 0.000 0.500
Sb: 0.000 0.500 0.000
Sb: 0.250 0.250 0.750
Sb: 0.250 0.750 0.250
Sb: 0.500 0.000 0.000
Sb: 0.500 0.500 0.500
Sb: 0.750 0.250 0.250
Sb: 0.750 0.750 0.750

Output
- Symmetry: No. 216
- Formation energy without anion corrections: 0.36 eV per formula unit
- Distance to the lowest polymorph of the same formula: 80 kJ/mol of formula units

---

First-principles (SCAN) data for a crystal of Tc2Os relaxed with PBEsol, as listed in Alexandria.

abc: 5.846 5.846 5.846
angles: 90.00 90.00 90.00
Positions (direct):
Tc: 0.250 0.250 0.250
Tc: 0.250 0.250 0.750
Tc: 0.250 0.750 0.250
Tc: 0.250 0.750 0.750
Tc: 0.750 0.250 0.250
Tc: 0.750 0.250 0.750
Tc: 0.750 0.750 0.250
Tc: 0.750 0.750 0.750
Os: 0.000 0.000 0.000
Os: 0.000 0.500 0.500
Os: 0.500 0.000 0.500
Os: 0.500 0.500 0.000

Output
- Symmetry: No. 225
- Distance to the lowest polymorph of the same formula: 183 kJ/mol of formula units

---

First-principles (SCAN) data for a crystal of Mg3Tc2 relaxed with PBEsol, as listed in Alexandria.

abc: 4.472 4.472 5.498
angles: 90.00 90.00 120.00
Positions (direct):
Mg: 0.000 0.000 0.000
Mg: 0.333 0.667 0.392
Mg: 0.667 0.333 0.608
Tc: 0.333 0.667 0.928
Tc: 0.667 0.333 0.072

Output
- Symmetry: No. 164
- Distance to the lowest polymorph of the same formula: 172 kJ/mol of formula units

---

First-principles (SCAN) data for a crystal of Mg2SbSe relaxed with PBEsol, as listed in Alexandria.

abc: 3.713 3.713 7.288
angles: 90.00 90.00 90.00
Positions (direct):
Mg: 0.000 0.000 0.000
Mg: 0.500 0.500 0.433
Sb: 0.000 0.000 0.609
Se: 0.500 0.500 0.082

Output
- Symmetry: No. 99
- Formation energy without anion corrections: -3.14 eV per formula unit
- Distance to the lowest polymorph of the same formula: 7 kJ/mol of formula units

---

First-principles (SCAN) data for a crystal of TaIrBr relaxed with PBEsol, as listed in Alexandria.

abc: 3.020 3.020 11.686
angles: 90.00 90.00 90.00
Positions (direct):
Ta: 0.000 0.000 0.000
Ta: 0.500 0.500 0.500
Ir: 0.000 0.000 0.366
Ir: 0.500 0.500 0.866
Br: 0.000 0.000 0.654
Br: 0.500 0.500 0.154

Output
- Symmetry: No. 107
- Formation energy without anion corrections: 0.07 eV per formula unit

---

First-principles (SCAN) data for a crystal of LaSi2Ru relaxed with PBEsol, as listed in Alexandria.

abc: 3.059 3.059 7.202
angles: 90.00 90.00 90.00
Positions (direct):
La: 0.000 0.000 0.000
Si: 0.500 0.500 0.310
Si: 0.500 0.500 0.690
Ru: 0.000 0.000 0.500

Output
- Symmetry: No. 123
- Formation energy without anion corrections: -1.78 eV per formula unit

---

First-principles (SCAN) data for a crystal of HgOs2Ru relaxed with PBEsol, as listed in Alexandria.

abc: 2.736 4.567 9.992
angles: 90.00 90.00 90.00
Positions (direct):
Hg: 0.000 0.000 0.000
Hg: 0.500 0.500 0.500
Os: 0.000 0.500 0.220
Os: 0.000 0.500 0.780
Os: 0.500 0.000 0.280
Os: 0.500 0.000 0.720
Ru: 0.000 0.000 0.500
Ru: 0.500 0.500 0.000

Output
- Symmetry: No. 71

---

First-principles (SCAN) data for a crystal of LiHg2Cl relaxed with PBEsol, as listed in Alexandria.

abc: 3.392 3.379 8.796
angles: 90.00 101.05 90.00
Positions (direct):
Li: 0.000 0.000 0.000
Hg: 0.174 0.000 0.360
Hg: 0.802 0.500 0.620
Cl: 0.499 0.500 0.997

Output
- Symmetry: No. 6
- Formation energy without anion corrections: -3.64 eV per formula unit
- Distance to the lowest polymorph of the same formula: 0 kJ/mol of formula units

---

First-principles (SCAN) data for a crystal of MnSe relaxed with PBEsol, as listed in Alexandria.

abc: 5.226 5.226 5.226
angles: 90.00 90.00 90.00
Positions (direct):
Mn: 0.000 0.000 0.000
Mn: 0.000 0.500 0.500
Mn: 0.500 0.000 0.500
Mn: 0.500 0.500 0.000
Se: 0.000 0.000 0.500
Se: 0.000 0.500 0.000
Se: 0.500 0.000 0.000
Se: 0.500 0.500 0.500

Output
- Symmetry: No. 225
- Formation energy without anion corrections: -1.63 eV per formula unit

---

Looking at DFT total energy for the records above, in order, we have -335.6; -173.5; -84.7; -320.0; -42.2; -221.9; -447.7; -301.5; -174.8; -154.1; -174.3; -450.1; -561.5; -83.4; -70.4; -314.1; -99.7; -487.5; -150.3; -159.8 eV/cell.